Record 1
Below is an optimized crystal structure of Ho2Si4Pd5, with properties calculated at the GGA-PBE level.

```
data_Ho2Si4Pd5
_space_group_name_H-M_alt 'F m m m'
_space_group_IT_number 69
_space_group_name_Hall '-F 2 2'
_cell_length_a 5.6821
_cell_length_b 9.6009
_cell_length_c 14.1588
_cell_angle_alpha 90.00
_cell_angle_beta 90.00
_cell_angle_gamma 90.00
loop_
_atom_site_label
_atom_site_fract_x
_atom_site_fract_y
_atom_site_fract_z
Ho1 0.0000 0.0000 0.1418
Si1 0.0000 0.1352 0.3615
Pd1 0.0000 0.0000 0.5000
Pd2 0.2500 0.2500 0.0000
Pd3 0.2500 0.2500 0.2500
```

Properties
**DOS(E_F)**: 28.8 states/eV/cell
**Total DFT energy (no corrections)**: -5.9006 eV/atom

***

Record 2
Below is an optimized crystal structure of LaCoRe2, with properties calculated at the GGA-PBE level.

```
data_LaCoRe2
_space_group_name_H-M_alt 'I 41/a m d'
_space_group_IT_number 141
_cell_length_a 4.8257
_cell_length_b 4.8257
_cell_length_c 16.2095
_cell_angle_alpha 90.00
_cell_angle_beta 90.00
_cell_angle_gamma 90.00
loop_
_space_group_symop_operation_xyz
'x,y,z'
'-x,-y,-z'
'-y+1/4,x+3/4,z+1/4'
'y+1/4,-x+3/4,-z+1/4'
'-x+1/2,-y,z+1/2'
'x+1/2,y,-z+1/2'
'y+1/4,-x+1/4,z+3/4'
'-y+1/4,x+1/4,-z+3/4'
'x,-y,-z'
'-x,y,z'
'-y+1/4,-x+1/4,-z+3/4'
'y+1/4,x+1/4,z+3/4'
'-x+1/2,y,-z+1/2'
'x+1/2,-y,z+1/2'
'y+1/4,x+3/4,-z+1/4'
'-y+1/4,-x+3/4,z+1/4'
'x+1/2,y+1/2,z+1/2'
'-x+1/2,-y+1/2,-z+1/2'
'-y+3/4,x+1/4,z+3/4'
'y+3/4,-x+1/4,-z+3/4'
'-x,-y+1/2,z'
'x,y+1/2,-z'
'y+3/4,-x+3/4,z+1/4'
'-y+3/4,x+3/4,-z+1/4'
'x+1/2,-y+1/2,-z+1/2'
'-x+1/2,y+1/2,z+1/2'
'-y+3/4,-x+3/4,-z+1/4'
'y+3/4,x+3/4,z+1/4'
'-x,y+1/2,-z'
'x,-y+1/2,z'
'y+3/4,x+1/4,-z+3/4'
'-y+3/4,-x+1/4,z+3/4'
loop_
_atom_site_label
_atom_site_fract_x
_atom_site_fract_y
_atom_site_fract_z
La1 0.0000 0.2500 0.3750
Co1 0.0000 0.2500 0.8750
Re1 0.0000 0.0000 0.0000
```

Properties
**DOS(E_F)**: 17.1 states/eV/cell
**DFT formation energy**: 735.4 meV per atom

***

Record 3
Below is an optimized crystal structure of Sr3Zn4Pd4, with properties calculated at the GGA-PBE level.

```
data_Sr3Zn4Pd4
_space_group_name_H-M_alt 'P -1'
_space_group_IT_number 2
_cell_length_a 4.2813
_cell_length_b 4.3764
_cell_length_c 13.6564
_cell_angle_alpha 80.93
_cell_angle_beta 81.01
_cell_angle_gamma 89.98
loop_
_space_group_symop_operation_xyz
'x,y,z'
'-x,-y,-z'
loop_
_atom_site_label
_atom_site_fract_x
_atom_site_fract_y
_atom_site_fract_z
Sr1 0.0000 0.0000 0.0000
Sr2 0.1503 0.6484 0.7043
Zn1 0.2519 0.2504 0.4992
Zn2 0.3967 0.9000 0.1993
Pd1 0.3024 0.8030 0.3920
Pd2 0.4443 0.4470 0.1030
```

Properties
**DOS(E_F)**: 4.4 states/eV/cell
**DFT formation energy**: -546.2 meV per atom